Cr3B4PbO12 | PBE with a Hubbard U | relaxed

Output
For the raw total energy, the calculation gives -7.693 eV per atom. The value obtained for the total magnetic moment is 8.19 Bohr magnetons per cell. As for the space-group type: R32 (155).

Cell lengths 6.1334, 6.1334, 6.1334 Å; angles 103.90, 103.90, 103.90 degrees
Each line ends with the local moment (μB).
Atoms (fractional coordinates):
O (0.3560, 0.6440, 0.5000)  -0.03
O (0.9115, 0.5000, 0.0885)  -0.04
O (0.6236, 0.7851, 0.0342)  -0.09
O (0.0342, 0.6236, 0.7851)  -0.09
O (0.3764, 0.9658, 0.2149)  -0.09
O (0.7851, 0.0342, 0.6236)  -0.09
O (0.9658, 0.2149, 0.3764)  -0.09
O (0.5000, 0.0885, 0.9115)  -0.04
O (0.0885, 0.9115, 0.5000)  -0.04
O (0.5000, 0.3560, 0.6440)  -0.03
O (0.6440, 0.5000, 0.3560)  -0.03
O (0.2149, 0.3764, 0.9658)  -0.09
B (0.5000, 0.5000, 0.5000)  0.01
B (0.0552, 0.5000, 0.9448)  0.01
B (0.9448, 0.0552, 0.5000)  0.01
B (0.5000, 0.9448, 0.0552)  0.01
Cr (0.4446, 0.0000, 0.5554)  2.94
Cr (0.0000, 0.5554, 0.4446)  2.94
Cr (0.5554, 0.4446, 0.0000)  2.94
Pb (0.0000, 0.0000, 0.0000)  -0.14